A PBEsol-optimized structure of LaRhW2. Source: the Alexandria database, functional SCAN.

a = 3.8659 Å, b = 3.8659 Å, c = 10.0355 Å
α = 90.00°, β = 90.00°, γ = 90.00°
Space group I4/mmm (No. 139)
Asymmetric unit:
La 0.0000 0.0000 0.0000
Rh 0.0000 0.0000 0.5000
W 0.0000 0.5000 0.2500

Results
The value obtained for the density of states at the Fermi level is 3.0 states/eV/f.u. The value obtained for the total DFT energy (no corrections) is -53.423 eV/atom. The calculation puts the energy above the most stable polymorph in this dataset at 425 meV/atom. The calculation puts the formation energy at 0.640 eV per atom.